#1
A plane-wave DFT calculation with meta-GGA SCAN was carried out for a crystal of Ag3HgP relaxed with PBEsol.

Lattice parameters (Å, degrees): 5.029 5.029 5.029 90.00 90.00 90.00
Space group Pm-3m (No. 221)
Unique sites:
Ag: 0.000 0.000 0.500
Hg: 0.000 0.000 0.000
P: 0.500 0.500 0.500

Output
Crystal system ... cubic

=====

#2
A plane-wave DFT calculation with meta-GGA SCAN was carried out for a crystal of Ag3HgP relaxed with PBEsol.

Lattice parameters (Å, degrees): 4.738 4.738 4.738 90.00 90.00 90.00
Space group Pm-3m (No. 221)
Unique sites:
Ag: 0.000 0.000 0.500
Hg: 0.500 0.500 0.500
P: 0.000 0.000 0.000

Output
Crystal system ... cubic

=====

It is #2 that is most stable; the runner-up trails by 0.977 eV/atom.